Record 1
Computed, not measured: crystalline TaMnPt2 at its relaxed geometry at the GGA-PBE level of DFT.

Geometry as POSCAR:
```
TaMnPt2
1.0
1.425 0.823 9.021
-1.425 0.823 9.021
0.000 -1.646 9.021
Ta Mn Pt
1 1 2
Cartesian
0.000 0.000 0.000
0.000 0.000 13.532
0.000 0.000 6.703
0.000 0.000 20.361
```

Properties
N(E_F), states/eV/f.u.: 2.73
Space group: R-3m
ΔE_f, meV per atom: -285

=====

Record 2
Computed, not measured: crystalline Mg2ZnFeMo at its relaxed geometry at the GGA-PBE level of DFT.

Geometry as POSCAR:
```
Mg2ZnFeMo
1.0
4.656 0.000 0.000
0.000 4.656 0.000
0.000 0.000 4.506
Mg Zn Fe Mo
2 1 1 1
Cartesian
0.000 2.328 0.000
2.328 0.000 0.000
0.000 0.000 0.000
0.000 0.000 2.253
2.328 2.328 2.253
```

Properties
N(E_F), states/eV/f.u.: 5.00
Space group: P4/mmm
ΔE_f, meV per atom: 1113

=====

Record 3
Computed, not measured: crystalline YHoTmZr at its relaxed geometry at the GGA-PBE level of DFT.

Geometry as POSCAR:
```
YHoTmZr
1.0
0.000 3.876 3.876
3.876 0.000 3.876
3.876 3.876 0.000
Y Ho Tm Zr
1 1 1 1
Cartesian
0.000 0.000 0.000
1.938 1.938 1.938
5.814 5.814 5.814
3.876 3.876 3.876
```

Properties
N(E_F), states/eV/f.u.: 6.19
Space group: F-43m
ΔE_f, meV per atom: 206
Excess energy over the best structure of this formula in the dataset, eV per atom: 0.120

=====

Record 4
Computed, not measured: crystalline Zn2InBr6 at its relaxed geometry at the GGA-PBE level of DFT.

Geometry as POSCAR:
```
Zn2InBr6
1.0
6.809 -6.325 0.000
6.809 6.325 0.000
-1.664 0.000 6.996
Zn In Br
4 2 12
Cartesian
2.187 0.965 2.078
1.355 -0.965 5.576
10.599 0.965 1.420
9.767 -0.965 4.918
5.561 1.627 5.247
6.393 -1.627 1.749
0.859 0.968 4.136
3.518 3.338 6.159
1.691 -0.968 0.639
4.610 0.917 2.561
7.604 3.338 4.334
3.778 -0.917 6.059
8.176 0.917 0.937
4.350 -3.338 2.662
7.344 -0.917 4.435
10.263 0.968 6.357
8.436 -3.338 0.836
11.095 -0.968 2.859
```

Properties
Energy relative to the elements, uncorrected, meV/atom: -769
N(E_F), states/eV/f.u.: 3.39
Space group: C2/c

=====

Record 5
Computed, not measured: crystalline ThCd2Au at its relaxed geometry at the GGA-PBE level of DFT.

Geometry as POSCAR:
```
ThCd2Au
1.0
-2.565 2.565 3.608
2.565 -2.565 3.608
2.565 2.565 -3.608
Th Cd Au
1 2 1
Cartesian
0.000 0.000 0.000
2.565 0.000 1.804
0.000 0.000 3.608
0.000 2.565 1.804
```

Properties
N(E_F), states/eV/f.u.: 2.05
Space group: I-4m2
ΔE_f, meV per atom: -346

=====

Record 6
Computed, not measured: crystalline TbZn2Au8 at its relaxed geometry at the GGA-PBE level of DFT.

Geometry as POSCAR:
```
TbZn2Au8
1.0
4.023 -6.307 0.000
4.023 6.307 0.000
-2.054 0.000 4.176
Tb Zn Au
1 2 8
Cartesian
0.000 0.000 0.000
2.996 2.272 2.088
2.996 -2.272 2.088
0.313 1.602 2.605
4.023 3.397 0.000
0.313 -1.602 2.605
2.822 0.000 0.716
3.169 0.000 3.460
5.679 1.602 1.571
4.023 -3.397 0.000
5.679 -1.602 1.571
```

Properties
N(E_F), states/eV/f.u.: 3.05
Space group: C2/m
ΔE_f, meV per atom: -285
Excess energy over the best structure of this formula in the dataset, eV per atom: 0.048

=====

Record 7
Computed, not measured: crystalline SmZnGa4 at its relaxed geometry at the GGA-PBE level of DFT.

Geometry as POSCAR:
```
SmZnGa4
1.0
0.000 3.911 3.911
3.911 0.000 3.911
3.911 3.911 0.000
Sm Zn Ga
1 1 4
Cartesian
0.000 0.000 0.000
5.867 5.867 5.867
2.934 2.934 2.934
4.889 4.889 2.934
4.889 2.934 4.889
2.934 4.889 4.889
```

Properties
N(E_F), states/eV/f.u.: 4.51
Space group: F-43m
ΔE_f, meV per atom: -193
Excess energy over the best structure of this formula in the dataset, eV per atom: 0.152

=====

Record 8
Computed, not measured: crystalline LiCaPrNi at its relaxed geometry at the GGA-PBE level of DFT.

Geometry as POSCAR:
```
LiCaPrNi
1.0
0.000 3.593 3.593
3.593 0.000 3.593
3.593 3.593 0.000
Li Ca Pr Ni
1 1 1 1
Cartesian
0.000 0.000 0.000
1.796 1.796 1.796
5.389 5.389 5.389
3.593 3.593 3.593
```

Properties
N(E_F), states/eV/f.u.: 4.45
Space group: F-43m
ΔE_f, meV per atom: -17

=====

Record 9
Computed, not measured: crystalline PmPuSeS at its relaxed geometry at the GGA-PBE level of DFT.

Geometry as POSCAR:
```
PmPuSeS
1.0
2.030 1.172 6.740
-2.030 1.172 6.740
0.000 -2.344 6.740
Pm Pu Se S
1 1 1 1
Cartesian
0.000 0.000 0.000
0.000 0.000 9.893
0.000 0.000 4.913
0.000 0.000 15.105
```

Properties
Energy relative to the elements, uncorrected, meV/atom: -1809
N(E_F), states/eV/f.u.: 8.40
Space group: R3m

=====

Record 10
Computed, not measured: crystalline RbSbAsSe3 at its relaxed geometry at the GGA-PBE level of DFT.

Geometry as POSCAR:
```
RbSbAsSe3
1.0
9.363 0.000 0.000
0.000 4.409 0.000
-0.586 0.000 10.397
Rb Sb As Se
2 2 2 6
Cartesian
1.632 1.102 3.020
7.146 3.307 7.377
3.058 1.102 9.022
5.720 3.307 1.375
1.516 3.307 5.985
7.261 1.102 4.412
0.583 1.102 6.832
3.182 3.307 0.657
3.644 3.307 7.250
5.133 1.102 3.147
5.595 1.102 9.740
8.194 3.307 3.565
```

Properties
Energy relative to the elements, uncorrected, meV/atom: -427
N(E_F), states/eV/f.u.: 1.20
Space group: P2_1/m

=====

Record 11
Computed, not measured: crystalline ZnRuI2O at its relaxed geometry at the GGA-PBE level of DFT.

Geometry as POSCAR:
```
ZnRuI2O
1.0
5.741 0.000 0.000
0.000 5.741 0.000
0.000 0.000 3.604
Zn Ru I O
1 1 2 1
Cartesian
0.000 0.000 0.000
2.871 2.871 1.802
0.000 2.871 0.000
2.871 0.000 0.000
0.000 0.000 1.802
```

Properties
Energy relative to the elements, uncorrected, meV/atom: 490
N(E_F), states/eV/f.u.: 6.57
Space group: P4/mmm
Excess energy over the best structure of this formula in the dataset, eV per atom: 0.570

=====

Record 12
Computed, not measured: crystalline Y2HgSb at its relaxed geometry at the GGA-PBE level of DFT.

Geometry as POSCAR:
```
Y2HgSb
1.0
4.331 0.000 0.000
0.000 2.205 5.741
0.000 -2.205 5.741
Y Hg Sb
2 1 1
Cartesian
0.000 0.000 0.000
2.165 0.000 3.153
2.165 0.000 6.157
0.000 0.000 8.335
```

Properties
Energy relative to the elements, uncorrected, meV/atom: -763
N(E_F), states/eV/f.u.: 3.10
Space group: Amm2
Excess energy over the best structure of this formula in the dataset, eV per atom: 0.024